Density functional theory data (PBE) for a geometry-optimized DyYHo2Th structure.

```
data_DyYHo2Th
_chemical_formula_sum 'Dy2 Y2 Ho4 Th2'
_cell_length_a 8.413
_cell_length_b 6.379
_cell_length_c 6.294
_cell_angle_alpha 90.00
_cell_angle_beta 96.49
_cell_angle_gamma 90.00
_symmetry_space_group_name_H-M 'P 1 2/c 1'
_symmetry_Int_Tables_number 13
loop_
_symmetry_equiv_pos_as_xyz
'x,y,z'
'-x,-y,-z'
'-x,y,-z+1/2'
'x,-y,z+1/2'
loop_
_atom_site_label
_atom_site_type_symbol
_atom_site_fract_x
_atom_site_fract_y
_atom_site_fract_z
_atom_site_occupancy
Dy1 Dy 0.000 0.000 0.000 1
Y1 Y 0.500 0.184 0.250 1
Ho1 Ho 0.311 0.301 0.716 1
Th1 Th 0.000 0.444 0.250 1
```

Summary:
**DOS at the Fermi energy**: 1.2795 states/eV per atom
**Electronic total energy**: -5.2039 eV per atom